## BaTl2CoO (GGA+U)

Data for a relaxed BaTl2CoO crystal.

Results
The calculation puts the calculated density at 4.79 Mg/m³. The calculation puts the uncorrected energy at -2.917 eV/atom.

a b c (Å): 6.837 4.607 6.837
angles (deg): 90.00 90.00 90.00
Each line ends with the local moment (μB).
Fractional positions:
Tl (0.000, 0.000, 0.500)  -0.02
Tl (0.500, 0.000, 0.000)  -0.02
Co (0.500, 0.500, 0.500)  2.08
Ba (0.000, 0.000, 0.000)  -0.01
O (0.000, 0.500, 0.000)  0.00